No. 1
VASP calculation (PBE-GGA) on a relaxed DyHfOs crystal.

Lattice parameters (Å, degrees): 6.4846 6.4846 6.4846 90.00 90.00 90.00
Element x y z (fractional)
Dy1 0.0000 0.0000 0.0000
Dy2 0.0000 0.5000 0.5000
Dy3 0.5000 0.0000 0.5000
Dy4 0.5000 0.5000 0.0000
Hf1 0.2500 0.2500 0.7500
Hf2 0.2500 0.7500 0.2500
Hf3 0.7500 0.2500 0.2500
Hf4 0.7500 0.7500 0.7500
Os1 0.2500 0.2500 0.2500
Os2 0.2500 0.7500 0.7500
Os3 0.7500 0.2500 0.7500
Os4 0.7500 0.7500 0.2500

Crystal system: cubic
Uncorrected energy (eV per atom): -7.59

No. 2
VASP calculation (PBE-GGA) on a relaxed Dy3Hf3Sb2Os crystal.

Lattice parameters (Å, degrees): 7.8998 7.8998 4.0492 90.00 90.00 120.00
Element x y z (fractional)
Dy1 0.0000 0.6005 0.0000
Dy2 0.3995 0.3995 0.0000
Dy3 0.6005 0.0000 0.0000
Hf1 0.0000 0.2300 0.5000
Hf2 0.2300 0.0000 0.5000
Hf3 0.7700 0.7700 0.5000
Sb1 0.3333 0.6667 0.5000
Sb2 0.6667 0.3333 0.5000
Os1 0.0000 0.0000 0.0000

Energy above the lowest structure with this stoichiometry (meV per atom): 0
Crystal system: hexagonal
Uncorrected energy (eV per atom): -7.64

No. 3
VASP calculation (PBE-GGA) on a relaxed Dy3Hf3Sb2Os crystal.

Lattice parameters (Å, degrees): 8.0529 8.0529 3.7973 90.00 90.00 120.00
Element x y z (fractional)
Dy1 0.0000 0.2519 0.0000
Dy2 0.2519 0.0000 0.0000
Dy3 0.7481 0.7481 0.0000
Hf1 0.0000 0.6086 0.5000
Hf2 0.3914 0.3914 0.5000
Hf3 0.6086 0.0000 0.5000
Sb1 0.3333 0.6667 0.0000
Sb2 0.6667 0.3333 0.0000
Os1 0.0000 0.0000 0.5000

Energy above the lowest structure with this stoichiometry (meV per atom): 299
Crystal system: hexagonal
Uncorrected energy (eV per atom): -7.34

No. 4
VASP calculation (PBE-GGA) on a relaxed Dy2HfP3 crystal.

Lattice parameters (Å, degrees): 3.8822 3.8822 9.5755 90.00 90.00 120.00
Element x y z (fractional)
Dy1 0.3333 0.6667 0.3276
Dy2 0.6667 0.3333 0.6724
Hf1 0.0000 0.0000 0.0000
P1 0.0000 0.0000 0.5000
P2 0.3333 0.6667 0.8479
P3 0.6667 0.3333 0.1521

Crystal system: trigonal
Uncorrected energy (eV per atom): -7.40

No. 5
VASP calculation (PBE-GGA) on a relaxed DyHf6P crystal.

Lattice parameters (Å, degrees): 6.3478 6.3478 6.3478 62.50 62.50 62.50
Element x y z (fractional)
Dy1 0.0000 0.0000 0.0000
Hf1 0.0514 0.7029 0.5204
Hf2 0.2971 0.4796 0.9486
Hf3 0.4796 0.9486 0.2971
Hf4 0.5204 0.0514 0.7029
Hf5 0.7029 0.5204 0.0514
Hf6 0.9486 0.2971 0.4796
P1 0.5000 0.5000 0.5000

Crystal system: trigonal
Uncorrected energy (eV per atom): -8.50

No. 6
VASP calculation (PBE-GGA) on a relaxed DyHf2P3 crystal.

Lattice parameters (Å, degrees): 3.7892 3.7892 9.2809 90.00 90.00 120.00
Element x y z (fractional)
Dy1 0.0000 0.0000 0.0000
Hf1 0.3333 0.6667 0.3431
Hf2 0.6667 0.3333 0.6569
P1 0.0000 0.0000 0.5000
P2 0.3333 0.6667 0.8175
P3 0.6667 0.3333 0.1825

Crystal system: trigonal
Uncorrected energy (eV per atom): -8.17

No. 7
VASP calculation (PBE-GGA) on a relaxed DyHfPb crystal.

Lattice parameters (Å, degrees): 7.0173 7.0173 7.0173 90.00 90.00 90.00
Element x y z (fractional)
Dy1 0.0000 0.0000 0.0000
Dy2 0.0000 0.5000 0.5000
Dy3 0.5000 0.0000 0.5000
Dy4 0.5000 0.5000 0.0000
Hf1 0.0000 0.0000 0.5000
Hf2 0.0000 0.5000 0.0000
Hf3 0.5000 0.0000 0.0000
Hf4 0.5000 0.5000 0.5000
Pb1 0.2500 0.2500 0.2500
Pb2 0.2500 0.7500 0.7500
Pb3 0.7500 0.2500 0.7500
Pb4 0.7500 0.7500 0.2500

Energy above the lowest structure with this stoichiometry (meV per atom): 0
Crystal system: cubic
Uncorrected energy (eV per atom): -5.86

No. 8
VASP calculation (PBE-GGA) on a relaxed PrDyHf crystal.

Lattice parameters (Å, degrees): 7.4148 7.4148 7.4148 90.00 90.00 90.00
Element x y z (fractional)
Pr1 0.0000 0.0000 0.0000
Pr2 0.0000 0.5000 0.5000
Pr3 0.5000 0.0000 0.5000
Pr4 0.5000 0.5000 0.0000
Dy1 0.0000 0.0000 0.5000
Dy2 0.0000 0.5000 0.0000
Dy3 0.5000 0.0000 0.0000
Dy4 0.5000 0.5000 0.5000
Hf1 0.2500 0.2500 0.7500
Hf2 0.2500 0.7500 0.2500
Hf3 0.7500 0.2500 0.2500
Hf4 0.7500 0.7500 0.7500

Energy above the lowest structure with this stoichiometry (meV per atom): 0
Crystal system: cubic
Uncorrected energy (eV per atom): -5.60

No. 9
VASP calculation (PBE-GGA) on a relaxed DyHfRe crystal.

Lattice parameters (Å, degrees): 6.5327 6.5327 6.5327 90.00 90.00 90.00
Element x y z (fractional)
Dy1 0.0000 0.0000 0.0000
Dy2 0.0000 0.5000 0.5000
Dy3 0.5000 0.0000 0.5000
Dy4 0.5000 0.5000 0.0000
Hf1 0.2500 0.2500 0.7500
Hf2 0.2500 0.7500 0.2500
Hf3 0.7500 0.2500 0.2500
Hf4 0.7500 0.7500 0.7500
Re1 0.2500 0.2500 0.2500
Re2 0.2500 0.7500 0.7500
Re3 0.7500 0.2500 0.7500
Re4 0.7500 0.7500 0.2500

Crystal system: cubic
Uncorrected energy (eV per atom): -7.64

No. 10
VASP calculation (PBE-GGA) on a relaxed DyHfSb crystal.

Lattice parameters (Å, degrees): 6.9023 6.9023 6.9023 90.00 90.00 90.00
Element x y z (fractional)
Dy1 0.0000 0.0000 0.0000
Dy2 0.0000 0.5000 0.5000
Dy3 0.5000 0.0000 0.5000
Dy4 0.5000 0.5000 0.0000
Hf1 0.0000 0.0000 0.5000
Hf2 0.0000 0.5000 0.0000
Hf3 0.5000 0.0000 0.0000
Hf4 0.5000 0.5000 0.5000
Sb1 0.2500 0.2500 0.2500
Sb2 0.2500 0.7500 0.7500
Sb3 0.7500 0.2500 0.7500
Sb4 0.7500 0.7500 0.2500

Crystal system: cubic
Uncorrected energy (eV per atom): -6.36

No. 11
VASP calculation (PBE-GGA) on a relaxed DyYHf2Sb2 crystal.

Lattice parameters (Å, degrees): 4.2599 4.2599 16.5262 90.00 90.00 90.00
Element x y z (fractional)
Dy1 0.0000 0.0000 0.0000
Dy2 0.5000 0.5000 0.5000
Y1 0.0000 0.0000 0.6473
Y2 0.5000 0.5000 0.1473
Hf1 0.0000 0.5000 0.3240
Hf2 0.0000 0.5000 0.8240
Hf3 0.5000 0.0000 0.3240
Hf4 0.5000 0.0000 0.8240
Sb1 0.0000 0.0000 0.1923
Sb2 0.0000 0.0000 0.4556
Sb3 0.5000 0.5000 0.6923
Sb4 0.5000 0.5000 0.9556

Crystal system: tetragonal
Uncorrected energy (eV per atom): -7.26

No. 12
VASP calculation (PBE-GGA) on a relaxed Dy3HfSi4 crystal.

Lattice parameters (Å, degrees): 5.5824 3.7937 7.6726 90.00 90.84 90.00
Element x y z (fractional)
Dy1 0.0000 0.0000 0.0000
Dy2 0.2404 0.5000 0.3604
Dy3 0.5045 0.5000 0.8560
Hf1 0.7376 0.0000 0.4985
Si1 0.2519 0.0000 0.6368
Si2 0.4940 0.0000 0.1470
Si3 0.7545 0.5000 0.2306
Si4 0.9808 0.5000 0.7079

Crystal system: monoclinic
Uncorrected energy (eV per atom): -6.47